20
Lattice="-0.308 1.063 -6.161 1.527 -11.461 0.066 -10.369 3.900 3.311" Properties=species:S:1:pos:R:3 comment="Pr12NdTm7 (PBE-GGA, optimized geometry)" relative_energy_mev_per_atom=98 dos_ef_per_ev_cell=29.86 spacegroup="R-3 (148)" energy_ev_per_fu=-88.57 pbc="T T T"
Pr -5.615 -1.893 -1.101
Tm -2.266 -1.469 -1.447
Nd 0.000 0.000 0.000
Pr -0.955 -5.951 0.076
Tm 1.100 -8.529 -0.714
Pr -8.195 -0.547 -2.860
Tm -10.251 2.032 -2.070
Pr -3.288 -6.870 -4.205
Pr -3.796 1.814 -1.431
Pr -5.863 0.372 1.422
Tm -2.811 1.871 -4.590
Pr -5.354 -8.311 -1.353
Tm -0.154 0.532 -3.080
Pr -9.947 0.304 0.736
Pr -5.749 -4.808 1.764
Pr -3.535 -4.605 -1.682
Pr -3.401 -1.690 -4.548
Tm -6.884 -5.029 -1.337
Pr 0.797 -6.801 -3.520
Tm -6.339 -8.369 1.806

***

5
Lattice="-0.415 0.585 -4.315 4.533 -0.991 -0.570 -0.986 -4.235 -0.480" Properties=species:S:1:pos:R:3 comment="TlMoCSe2 (PBE-GGA, optimized geometry)" dos_ef_per_ev_cell=5.94 spacegroup="P4/mmm (123)" e_form_raw_ev_per_atom=1.56 energy_ev_per_fu=-21.61 pbc="T T T"
C 0.000 0.000 0.000
Tl 2.267 -0.496 -0.285
Mo 1.566 -2.320 -2.682
Se -0.207 0.293 -2.157
Se -0.493 -2.117 -0.240

***

20
Lattice="5.026 0.000 0.000 0.000 10.946 -0.392 0.000 -0.099 11.301" Properties=species:S:1:pos:R:3 comment="Y6Ho3Tl (PBE-GGA, optimized geometry)" relative_energy_mev_per_atom=0 dos_ef_per_ev_cell=28.95 spacegroup="P2_1/m (11)" energy_ev_per_fu=-55.29 pbc="T T T"
Y 1.257 0.416 10.097
Ho 1.257 6.010 4.318
Y 1.257 4.928 0.957
Ho 3.770 7.169 2.092
Y 3.770 1.321 7.625
Y 3.770 9.143 8.868
Y 3.770 8.376 5.456
Ho 3.770 4.837 6.591
Y 1.257 2.471 5.453
Y 3.770 3.810 3.223
Y 1.257 1.704 2.041
Ho 3.770 2.618 11.061
Y 1.257 7.037 7.686
Y 3.770 10.431 0.812
Y 1.257 9.527 3.284
Y 3.770 5.919 9.953
Ho 1.257 3.678 8.817
Tl 1.257 10.189 6.658
Ho 1.257 8.229 -0.151
Tl 3.770 0.658 4.251

***

Which formula does entry 1 have? Pr12NdTm7